No. 1
This record from Alexandria via LeMat-Bulk describes crystalline Na2YSbTe4 at its relaxed geometry. The functional is PBE.

Summary:
SG	P2/m
crystal system	monoclinic
ΔE_f (raw)	-7.114	eV per formula unit

Cell lengths 4.434, 7.726, 7.977 Å; angles 108.73, 90.00, 90.00 degrees
Fractional positions:
1 Na 0.000 0.500 0.500
2 Na 0.500 0.000 0.500
3 Y 0.500 0.500 0.000
4 Te 0.500 0.243 0.230
5 Te 0.500 0.757 0.770
6 Te 0.000 0.255 0.770
7 Te 0.000 0.745 0.230
8 Sb 0.000 0.000 0.000

No. 2
This record from Alexandria via LeMat-Bulk describes crystalline Pm2Pr8Nd3 at its relaxed geometry. The functional is PBE.

Summary:
E above lowest polymorph	0.72	eV per formula unit
SG	C2/m
crystal system	monoclinic
DFT formation energy	0.202	eV per atom

Cell lengths 5.868, 7.792, 11.158 Å; angles 110.44, 90.04, 90.00 degrees
Fractional positions:
1 Nd 0.500 0.000 0.000
2 Nd 0.000 0.287 0.000
3 Nd 0.000 0.713 0.000
4 Pr 0.999 0.327 0.653
5 Pr 0.999 0.134 0.268
6 Pr 0.500 0.601 0.788
7 Pr 0.500 0.399 0.212
8 Pr 0.001 0.866 0.732
9 Pr 0.001 0.673 0.347
10 Pr 0.500 0.187 0.788
11 Pr 0.500 0.813 0.212
12 Pm 0.498 0.242 0.483
13 Pm 0.502 0.758 0.517

No. 3
This record from Alexandria via LeMat-Bulk describes crystalline NpB2C at its relaxed geometry. The functional is PBE.

Summary:
SG	P2_1/m
crystal system	monoclinic
DFT formation energy	0.172	eV per atom

Cell lengths 4.907, 3.554, 4.349 Å; angles 90.00, 90.00, 100.31 degrees
Fractional positions:
1 Np 0.929 0.845 0.750
2 Np 0.071 0.155 0.250
3 C 0.666 0.544 0.250
4 C 0.334 0.456 0.750
5 B 0.437 0.760 0.458
6 B 0.563 0.240 0.542
7 B 0.437 0.760 0.042
8 B 0.563 0.240 0.958

No. 4
This record from Alexandria via LeMat-Bulk describes crystalline Y2Er3TmTe6 at its relaxed geometry. The functional is PBE.

Summary:
SG	C2/m
crystal system	monoclinic
ΔE_f (raw)	-14.840	eV per formula unit

Cell lengths 4.312, 8.705, 9.690 Å; angles 103.01, 102.85, 90.00 degrees
Fractional positions:
1 Te 0.001 0.752 0.003
2 Te 0.335 0.920 0.671
3 Te 0.665 0.586 0.329
4 Te 0.335 0.414 0.671
5 Te 0.999 0.248 0.997
6 Te 0.665 0.080 0.329
7 Er 0.170 0.834 0.340
8 Er 0.500 0.500 0.000
9 Er 0.830 0.166 0.660
10 Tm 0.500 0.000 0.000
11 Y 0.169 0.336 0.338
12 Y 0.831 0.664 0.662

No. 5
This record from Alexandria via LeMat-Bulk describes crystalline CsAl3Os at its relaxed geometry. The functional is PBE.

Summary:
E above lowest polymorph	0.00	eV per formula unit
SG	Pm-3m
crystal system	cubic
DFT formation energy	-0.082	eV per atom

Cell lengths 4.952, 4.952, 4.952 Å; angles 90.00, 90.00, 90.00 degrees
Fractional positions:
1 Al 0.500 0.000 0.000
2 Al 0.000 0.000 0.500
3 Al 0.000 0.500 0.000
4 Os 0.000 0.000 0.000
5 Cs 0.500 0.500 0.500

No. 6
This record from Alexandria via LeMat-Bulk describes crystalline Si2Pb3 at its relaxed geometry. The functional is PBE.

Summary:
E above lowest polymorph	0.07	eV per formula unit
SG	R-3m
crystal system	trigonal
ΔE_f (raw)	2.024	eV per formula unit

Cell lengths 9.352, 9.352, 9.352 Å; angles 25.80, 25.80, 25.80 degrees
Fractional positions:
1 Pb 0.786 0.786 0.786
2 Pb 0.214 0.214 0.214
3 Pb 0.000 0.000 0.000
4 Si 0.601 0.601 0.601
5 Si 0.399 0.399 0.399

no.,calculated total energy (Ry/atom)
1,-0.3023
2,-0.3359
3,-0.6400
4,-0.3968
5,-0.3487
6,-0.2932